Entry 1:
Entry from Alexandria via LeMat-Bulk: KBa4Ca after structural relaxation (GGA-PBE).

a b c (Å): 8.211 8.211 8.211
angles (deg): 60.00 60.00 60.00
Positions (direct):
Ba1 0.873 0.376 0.376
K1 0.000 0.000 0.000
Ba2 0.376 0.873 0.376
Ba3 0.376 0.376 0.376
Ca1 0.750 0.750 0.750
Ba4 0.376 0.376 0.873

Output
Total energy ... -1.58 eV per atom

Entry 2:
Entry from Alexandria via LeMat-Bulk: PaCr2Ge2 after structural relaxation (GGA-PBE).

a b c (Å): 4.472 4.472 5.154
angles (deg): 107.96 107.96 106.81
Positions (direct):
Cr1 0.118 0.618 0.736
Ge1 0.750 0.750 0.000
Pa1 0.500 0.000 0.500
Cr2 0.882 0.382 0.264
Ge2 0.250 0.250 0.000

Output
Total energy ... -7.76 eV per atom

Entry 3:
Entry from Alexandria via LeMat-Bulk: Be5Ag after structural relaxation (GGA-PBE).

a b c (Å): 4.306 4.306 3.638
angles (deg): 90.00 90.00 120.00
Positions (direct):
Be1 0.825 0.492 0.000
Be2 0.000 0.333 0.500
Be3 0.842 0.000 0.000
Be4 0.333 0.508 0.000
Ag1 0.333 0.000 0.500
Be5 0.667 0.667 0.500

Output
Total energy ... -3.52 eV per atom

Entry 4:
Entry from Alexandria via LeMat-Bulk: ReAg2Os after structural relaxation (GGA-PBE).

a b c (Å): 4.489 4.489 4.489
angles (deg): 60.00 60.00 60.00
Positions (direct):
Ag1 0.250 0.250 0.250
Ag2 0.000 0.000 0.000
Os1 0.500 0.500 0.500
Re1 0.750 0.750 0.750

Output
Polymorph energy (0 for the lowest one) ... 53.9 kJ/mol of atoms
Total energy ... -6.51 eV per atom